[1]
## SmDyGa2Ir2 (PBE)

Data for SmDyGa2Ir2 after structural relaxation.

Results
The value obtained for the raw total energy is -6.2930 eV/atom. As for the spin magnetization: 0.00 μB/f.u. The density of states at the Fermi level comes out at 3.6 states/eV/f.u.

a = 4.4092 Å, b = 4.4092 Å, c = 7.1893 Å
α = 90.00°, β = 90.00°, γ = 120.00°
Positions (direct):
Sm 0.0000 0.0000 0.0000
Dy 0.0000 0.0000 0.5000
Ga 0.6667 0.3333 0.7372
Ga 0.3333 0.6667 0.2628
Ir 0.6667 0.3333 0.2621
Ir 0.3333 0.6667 0.7379

=====

[2]
## PaBeFeTc (PBE)

Data for PaBeFeTc after structural relaxation.

Results
The value obtained for the raw total energy is -8.0134 eV/atom. As for the spin magnetization: 0.55 μB/f.u. The density of states at the Fermi level comes out at 4.8 states/eV/f.u.

a = 4.3856 Å, b = 4.3856 Å, c = 4.3856 Å
α = 60.00°, β = 60.00°, γ = 60.00°
Site moments in Bohr magnetons follow the coordinates.
Positions (direct):
Be 0.7500 0.7500 0.7500  0.00
Pa 0.2500 0.2500 0.2500  -0.09
Tc 0.5000 0.5000 0.5000  0.10
Fe 0.0000 0.0000 0.0000  0.55

=====

[3]
## HfTaSn3 (PBE)

Data for HfTaSn3 after structural relaxation.

Results
Its offset from the most stable computed form is 0.0 meV per atom. As for the spin magnetization: 0.00 μB/f.u. The density of states at the Fermi level comes out at 6.0 states/eV/f.u.

a = 5.2976 Å, b = 5.2976 Å, c = 5.2976 Å
α = 90.00°, β = 90.00°, γ = 90.00°
Positions (direct):
Hf 0.5000 0.5000 0.5000
Sn 0.0000 0.5000 0.0000
Sn 0.0000 0.0000 0.5000
Sn 0.5000 0.0000 0.0000
Ta 0.0000 0.0000 0.0000

=====

[4]
## KPdRuCl6 (PBE)

Data for KPdRuCl6 after structural relaxation.

Results
The value obtained for the raw total energy is -3.7289 eV/atom. As for the spin magnetization: 1.04 μB/f.u. The density of states at the Fermi level comes out at 6.7 states/eV/f.u.

a = 6.4311 Å, b = 6.4311 Å, c = 6.9620 Å
α = 90.00°, β = 90.00°, γ = 60.00°
Site moments in Bohr magnetons follow the coordinates.
Positions (direct):
K 0.0000 0.0000 0.0000  0.00
Pd 0.3333 0.3333 0.5000  0.93
Ru 0.6666 0.6667 0.5000  -0.41
Cl 0.9815 0.3715 0.3087  0.07
Cl 0.3714 0.9816 0.6913  0.07
Cl 0.6470 0.3715 0.6913  0.07
Cl 0.9815 0.6470 0.6913  0.07
Cl 0.3714 0.6470 0.3087  0.07
Cl 0.6470 0.9816 0.3087  0.07

=====

[5]
## HoTmSi (PBE)

Data for HoTmSi after structural relaxation.

Results
Its offset from the most stable computed form is 16.9 meV per atom. As for the spin magnetization: 0.00 μB/f.u. The density of states at the Fermi level comes out at 2.9 states/eV/f.u.

a = 4.1258 Å, b = 5.9174 Å, c = 6.8602 Å
α = 76.73°, β = 107.48°, γ = 110.43°
Positions (direct):
Ho 0.0159 0.5855 0.4075
Ho 0.8442 0.9653 0.6855
Tm 0.6041 0.0469 0.1234
Tm 0.2561 0.5040 0.9696
Si 0.5535 0.3619 0.7071
Si 0.3067 0.1890 0.3859

=====

[6]
## As2PdW (PBE)

Data for As2PdW after structural relaxation.

Results
Its offset from the most stable computed form is 99.3 meV per atom. As for the spin magnetization: 0.00 μB/f.u. The density of states at the Fermi level comes out at 1.9 states/eV/f.u.

a = 5.7192 Å, b = 5.7192 Å, c = 6.8703 Å
α = 65.40°, β = 65.40°, γ = 90.00°
Positions (direct):
As 0.6324 0.1250 0.2500
As 0.1176 0.6250 0.2500
As 0.3750 0.3676 0.7500
As 0.8750 0.8824 0.7500
Pd 0.5000 0.5000 0.0000
Pd 0.2500 0.7500 0.5000
W 0.0000 0.0000 0.0000
W 0.7500 0.2500 0.5000

=====

[7]
## TcNi2Au (PBE)

Data for TcNi2Au after structural relaxation.

Results
Its offset from the most stable computed form is 184.8 meV per atom. As for the spin magnetization: 0.87 μB/f.u. The density of states at the Fermi level comes out at 5.3 states/eV/f.u.

a = 4.4941 Å, b = 4.4941 Å, c = 4.4941 Å
α = 128.51°, β = 128.48°, γ = 75.82°
Site moments in Bohr magnetons follow the coordinates.
Positions (direct):
Au 0.2500 0.7500 0.5000  0.01
Ni 0.0000 0.0000 0.0000  0.14
Ni 0.5000 0.5000 0.0000  0.14
Tc 0.7500 0.2500 0.5000  0.55

=====

[8]
## Li3CeZn3 (PBE)

Data for Li3CeZn3 after structural relaxation.

Results
The value obtained for the raw total energy is -1.9800 eV/atom. As for the spin magnetization: 1.28 μB/f.u. The density of states at the Fermi level comes out at 12.5 states/eV/f.u.

a = 6.6456 Å, b = 6.6456 Å, c = 6.6456 Å
α = 90.00°, β = 90.00°, γ = 90.00°
Site moments in Bohr magnetons follow the coordinates.
Positions (direct):
Zn 0.0000 0.2500 0.5000  0.01
Zn 0.0000 0.7500 0.5000  0.01
Zn 0.5000 0.0000 0.7500  0.01
Zn 0.7500 0.5000 0.0000  0.01
Zn 0.5000 0.0000 0.2500  0.01
Zn 0.2500 0.5000 0.0000  0.01
Ce 0.5000 0.5000 0.5000  1.05
Ce 0.0000 0.0000 0.0000  1.05
Li 0.2500 0.0000 0.5000  0.00
Li 0.0000 0.5000 0.2500  0.00
Li 0.5000 0.7500 0.0000  0.00
Li 0.7500 0.0000 0.5000  0.00
Li 0.0000 0.5000 0.7500  0.00
Li 0.5000 0.2500 0.0000  0.00

=====

[9]
## LiNi3H (PBE)

Data for LiNi3H after structural relaxation.

Results
Its offset from the most stable computed form is 0.0 meV per atom. As for the spin magnetization: 0.96 μB/f.u. The density of states at the Fermi level comes out at 4.7 states/eV/f.u.

a = 4.8535 Å, b = 4.8557 Å, c = 5.0615 Å
α = 106.79°, β = 103.49°, γ = 117.09°
Site moments in Bohr magnetons follow the coordinates.
Positions (direct):
Li 0.7408 0.7201 0.0261  -0.01
Li 0.8324 0.3018 0.7006  -0.01
Ni 0.3296 0.8004 0.1919  0.30
Ni 0.8258 0.2965 0.1921  0.30
Ni 0.2440 0.2168 0.0256  0.44
Ni 0.3293 0.8050 0.7009  0.44
Ni 0.2437 0.2217 0.5348  0.30
Ni 0.7473 0.7254 0.5346  0.30
H 0.5217 0.2652 0.3535  0.00
H 0.0515 0.7567 0.3732  0.00

=====

[10]
## Li3Zn2Ga8 (PBE)

Data for Li3Zn2Ga8 after structural relaxation.

Results
The value obtained for the raw total energy is -2.6013 eV/atom. As for the spin magnetization: 0.00 μB/f.u. The density of states at the Fermi level comes out at 3.4 states/eV/f.u.

a = 8.2289 Å, b = 6.8128 Å, c = 12.3143 Å
α = 35.48°, β = 37.76°, γ = 40.17°
Positions (direct):
Li 0.0000 0.0000 0.0000
Li 0.3052 0.0532 0.3822
Li 0.6948 0.9468 0.6178
Zn 0.2948 0.3716 0.7685
Zn 0.7052 0.6284 0.2315
Ga 0.5306 0.3259 0.9674
Ga 0.4694 0.6741 0.0326
Ga 0.3320 0.8040 0.7085
Ga 0.8356 0.9758 0.7879
Ga 0.2035 0.4520 0.5695
Ga 0.1644 0.0242 0.2121
Ga 0.6680 0.1960 0.2915
Ga 0.7965 0.5480 0.4305

=====

[11]
## MgZn4Ru (PBE)

Data for MgZn4Ru after structural relaxation.

Results
Its offset from the most stable computed form is 0.0 meV per atom. As for the spin magnetization: 0.00 μB/f.u. The density of states at the Fermi level comes out at 2.1 states/eV/f.u.

a = 4.2451 Å, b = 7.6131 Å, c = 5.4674 Å
α = 90.00°, β = 90.00°, γ = 90.00°
Positions (direct):
Mg 0.4172 0.5000 0.2497
Mg 0.9172 0.0000 0.7503
Zn 0.9172 0.6648 0.5071
Zn 0.4172 0.8352 0.4929
Zn 0.4171 0.8352 0.0086
Zn 0.9171 0.6648 0.9914
Zn 0.9171 0.3352 0.9914
Zn 0.4171 0.1648 0.0086
Zn 0.4172 0.1648 0.4929
Zn 0.9172 0.3352 0.5071
Ru 0.9171 0.0000 0.2503
Ru 0.4171 0.5000 0.7497

=====

[12]
## Sm3Te2O (PBE)

Data for Sm3Te2O after structural relaxation.

Results
The value obtained for the raw total energy is -5.8499 eV/atom. As for the spin magnetization: 0.00 μB/f.u. The density of states at the Fermi level comes out at 4.8 states/eV/f.u.

a = 6.1795 Å, b = 8.3321 Å, c = 8.3321 Å
α = 119.04°, β = 90.00°, γ = 90.00°
Positions (direct):
Sm 0.9886 0.8777 0.5907
Sm 0.4886 0.4093 0.1223
Sm 0.9886 0.5907 0.8777
Sm 0.4886 0.1223 0.4093
Sm 0.4545 0.9047 0.9047
Sm 0.9545 0.0953 0.0953
Te 0.4865 0.7920 0.4880
Te 0.9865 0.5120 0.2080
Te 0.4865 0.4880 0.7920
Te 0.9865 0.2080 0.5120
O 0.0534 0.8375 0.8375
O 0.5534 0.1625 0.1625